# 1
# SrFeIN2

A relaxed SrFeIN2 crystal (PBE-GGA, Alexandria via LeMat-Bulk).

- formation energy from raw total energies (meV per atom) = 621.9
- M_tot (μB/cell) = 0.40
- density of states at the Fermi level (states/eV per cell) = 5.19
- E_tot (eV per atom) = -5.0472

CIF file:
```
data_SrFeIN2
_chemical_formula_sum 'Sr1 Fe1 I1 N2'
_symmetry_space_group_name_H-M 'P 4/m m m'
_symmetry_Int_Tables_number 123
_symmetry_space_group_name_Hall '-P 4 2'
_cell_length_a 4.093
_cell_length_b 4.093
_cell_length_c 5.215
_cell_angle_alpha 90.00
_cell_angle_beta 90.00
_cell_angle_gamma 90.00
loop_
_atom_site_label
_atom_site_fract_x
_atom_site_fract_y
_atom_site_fract_z
Sr1 0.000 0.000 0.000
Fe1 0.500 0.500 0.500
I1 0.500 0.500 0.000
N1 0.000 0.500 0.500
```

# 2
# SrFeIN2

A relaxed SrFeIN2 crystal (PBE-GGA, Alexandria via LeMat-Bulk).

- formation energy from raw total energies (meV per atom) = 1674.2
- M_tot (μB/cell) = 7.79
- density of states at the Fermi level (states/eV per cell) = 6.88
- E_tot (eV per atom) = -3.9949

CIF file:
```
data_SrFeIN2
_chemical_formula_sum 'Sr1 Fe1 I1 N2'
_symmetry_space_group_name_H-M 'P 4/m m m'
_symmetry_Int_Tables_number 123
_symmetry_space_group_name_Hall '-P 4 2'
_cell_length_a 4.821
_cell_length_b 4.821
_cell_length_c 6.754
_cell_angle_alpha 90.00
_cell_angle_beta 90.00
_cell_angle_gamma 90.00
loop_
_atom_site_label
_atom_site_fract_x
_atom_site_fract_y
_atom_site_fract_z
Sr1 0.000 0.000 0.000
Fe1 0.500 0.500 0.500
I1 0.000 0.000 0.500
N1 0.000 0.500 0.000
```

# 3
# Sr2FeIN

A relaxed Sr2FeIN crystal (PBE-GGA, Alexandria via LeMat-Bulk).

- formation energy from raw total energies (meV per atom) = 786.8
- M_tot (μB/cell) = 2.04
- density of states at the Fermi level (states/eV per cell) = 6.13
- E_tot (eV per atom) = -3.5536

CIF file:
```
data_Sr2FeIN
_chemical_formula_sum 'Sr2 Fe1 I1 N1'
_symmetry_space_group_name_H-M 'P 4/m m m'
_symmetry_Int_Tables_number 123
_symmetry_space_group_name_Hall '-P 4 2'
_cell_length_a 5.586
_cell_length_b 5.586
_cell_length_c 4.658
_cell_angle_alpha 90.00
_cell_angle_beta 90.00
_cell_angle_gamma 90.00
loop_
_atom_site_label
_atom_site_fract_x
_atom_site_fract_y
_atom_site_fract_z
Sr1 0.000 0.500 0.000
Fe1 0.000 0.000 0.000
I1 0.000 0.000 0.500
N1 0.500 0.500 0.500
```

# 4
# FeTeI2N

A relaxed FeTeI2N crystal (PBE-GGA, Alexandria via LeMat-Bulk).

- formation energy from raw total energies (meV per atom) = 1638.7
- M_tot (μB/cell) = 0.00
- density of states at the Fermi level (states/eV per cell) = 9.26
- E_tot (eV per atom) = -2.9673

CIF file:
```
data_FeTeI2N
_chemical_formula_sum 'Fe1 Te1 I2 N1'
_symmetry_space_group_name_H-M 'P 4/m m m'
_symmetry_Int_Tables_number 123
_symmetry_space_group_name_Hall '-P 4 2'
_cell_length_a 5.238
_cell_length_b 5.238
_cell_length_c 4.779
_cell_angle_alpha 90.00
_cell_angle_beta 90.00
_cell_angle_gamma 90.00
loop_
_atom_site_label
_atom_site_fract_x
_atom_site_fract_y
_atom_site_fract_z
Fe1 0.000 0.000 0.000
Te1 0.000 0.000 0.500
I1 0.000 0.500 0.000
N1 0.500 0.500 0.500
```